K2ZnBi2: single point on PBEsol structure, meta-GGA SCAN.

## Properties
The space group is P4/mbm, No. 127. The total energy comes out at -37.75 eV per atom. The calculation puts the formation energy from the elements at -6.5 kcal/mol of atoms.

Lattice parameters (Å, degrees): 5.781 7.575 7.575 90.00 90.00 90.00
Element x y z (fractional)
K  0.500  0.163  0.663
K  0.500  0.663  0.837
K  0.500  0.837  0.337
K  0.500  0.337  0.163
Zn  0.000  0.000  0.000
Zn  0.000  0.500  0.500
Bi  0.000  0.351  0.851
Bi  0.000  0.851  0.649
Bi  0.000  0.649  0.149
Bi  0.000  0.149  0.351